This record from the Alexandria database describes a geometry-optimized PtPbSe structure. The functional is PBE.

Cell lengths 14.2892, 3.9514, 5.8217 Å; angles 90.00, 98.44, 90.00 degrees
Space group C2/m (No. 12)
Unique sites:
Pt (0.1977, 0.0000, 0.0664) [4 per cell]
Pb (0.1011, 0.5000, 0.7339) [4 per cell]
Se (0.0827, 0.0000, 0.3216) [4 per cell]

ρ: 9.8 g/cm3
magnetization: 0.0 μB per cell
formation energy (no corrections): -0.365 eV/f.u.
energy: -4.533 eV/atom